DFT (PBE) results for Rh2SeBr after structural relaxation.

abc: 3.701 4.651 5.228
angles: 92.38 90.00 90.00
Positions (direct):
Rh  0.000  0.518  0.398
Rh  0.000  0.982  0.102
Br  0.500  0.750  0.750
Se  0.500  0.250  0.250

Summary:
ΔE to the lowest computed polymorph = 241 meV per atom
Total magnetic moment = 0.00 μB/atom
DOS(E_F) = 3.57 states/eV/cell
Formation energy (no corrections) = 0.204 eV per atom

DFT (PBE) results for RhSeBr after structural relaxation.

abc: 3.621 3.621 6.539
angles: 90.00 90.00 120.00
Positions (direct):
Se  0.333  0.667  0.546
Br  0.000  0.000  0.103
Rh  0.667  0.333  0.351

Summary:
Total magnetic moment = 0.00 μB/atom
Formation energy (no corrections) = -0.440 eV per atom